[1]
This record from Alexandria describes crystalline Te4AsP at its relaxed geometry. The functional is PBE-GGA.

abc: 8.748 8.748 8.748
angles: 90.00 90.00 90.00
Space group F-43m (No. 216)
Inequivalent atoms, fractional coordinates:
Te: 0.125 0.125 0.125 (multiplicity 16)
As: 0.250 0.250 0.750 (multiplicity 4)
P: 0.000 0.000 0.500 (multiplicity 4)

Results
D(E_F) in states/eV/atom: 1.116
E in eV per atom: -2.773
ΔE_f (raw) in eV/atom: 0.998

[2]
This record from Alexandria describes crystalline TeAs2P at its relaxed geometry. The functional is PBE-GGA.

abc: 11.676 3.854 4.124
angles: 90.00 104.17 90.00
Space group C2/m (No. 12)
Inequivalent atoms, fractional coordinates:
Te: 0.000 0.000 0.000 (multiplicity 2)
As: 0.234 0.500 0.689 (multiplicity 4)
P: 0.000 0.500 0.500 (multiplicity 2)

Results
D(E_F) in states/eV/atom: 0.531
E in eV per atom: -4.278
ΔE_f (raw) in eV/atom: 0.184

[3]
This record from Alexandria describes crystalline TeAsP at its relaxed geometry. The functional is PBE-GGA.

abc: 5.785 5.841 6.731
angles: 66.84 81.06 71.90
Space group P1 (No. 1)
Inequivalent atoms, fractional coordinates:
Te: 0.000 0.000 0.000 (multiplicity 1)
Te: 0.015 0.320 0.377 (multiplicity 1)
As: 0.592 0.977 0.883 (multiplicity 1)
As: 0.598 0.193 0.481 (multiplicity 1)
P: 0.006 0.437 0.705 (multiplicity 1)
P: 0.402 0.427 0.710 (multiplicity 1)

Results
E in eV per atom: -4.271
ΔE_f (raw) in eV/atom: 0.129

[4]
This record from Alexandria describes crystalline TeAsP4 at its relaxed geometry. The functional is PBE-GGA.

abc: 8.245 8.245 8.245
angles: 90.00 90.00 90.00
Space group F-43m (No. 216)
Inequivalent atoms, fractional coordinates:
Te: 0.000 0.000 0.000 (multiplicity 4)
As: 0.250 0.250 0.750 (multiplicity 4)
P: 0.095 0.095 0.405 (multiplicity 16)

Results
D(E_F) in states/eV/atom: 0.562
E in eV per atom: -4.184
ΔE_f (raw) in eV/atom: 0.721

[5]
This record from Alexandria describes crystalline TeAs2P at its relaxed geometry. The functional is PBE-GGA.

abc: 3.273 3.316 8.133
angles: 90.00 90.00 90.00
Space group Pmmm (No. 47)
Inequivalent atoms, fractional coordinates:
Te: 0.000 0.000 0.000 (multiplicity 1)
As: 0.500 0.500 0.338 (multiplicity 2)
P: 0.000 0.000 0.500 (multiplicity 1)

Results
D(E_F) in states/eV/atom: 0.579
E in eV per atom: -4.070
ΔE_f (raw) in eV/atom: 0.393

[6]
This record from Alexandria describes crystalline TeAs2P at its relaxed geometry. The functional is PBE-GGA.

abc: 10.834 3.445 6.262
angles: 90.00 120.71 90.00
Space group Cm (No. 8)
Inequivalent atoms, fractional coordinates:
Te: 0.000 0.000 0.000 (multiplicity 2)
As: 0.012 0.500 0.637 (multiplicity 2)
As: 0.208 0.500 0.383 (multiplicity 2)
P: 0.184 0.000 0.661 (multiplicity 2)

Results
D(E_F) in states/eV/atom: 0.269
E in eV per atom: -4.116
ΔE_f (raw) in eV/atom: 0.347

[7]
This record from Alexandria describes crystalline TeAsP2 at its relaxed geometry. The functional is PBE-GGA.

abc: 4.607 3.722 5.348
angles: 90.00 109.65 90.00
Space group Pm (No. 6)
Inequivalent atoms, fractional coordinates:
Te: 0.000 0.000 0.000 (multiplicity 1)
As: 0.223 0.500 0.720 (multiplicity 1)
P: 0.512 0.000 0.488 (multiplicity 1)
P: 0.742 0.500 0.352 (multiplicity 1)

Results
D(E_F) in states/eV/atom: 0.327
E in eV per atom: -4.435
ΔE_f (raw) in eV/atom: 0.218

[8]
This record from Alexandria describes crystalline TeAsP at its relaxed geometry. The functional is PBE-GGA.

abc: 6.045 3.441 7.936
angles: 90.00 104.61 90.00
Space group P2/m (No. 10)
Inequivalent atoms, fractional coordinates:
Te: 0.202 0.000 0.440 (multiplicity 2)
As: 0.142 0.500 0.909 (multiplicity 2)
P: 0.369 0.000 0.079 (multiplicity 2)

Results
D(E_F) in states/eV/atom: 0.617
E in eV per atom: -4.279
ΔE_f (raw) in eV/atom: 0.122

[9]
This record from Alexandria describes crystalline TeAs2P at its relaxed geometry. The functional is PBE-GGA.

abc: 4.673 3.872 5.194
angles: 90.00 109.30 90.00
Space group P2/m (No. 10)
Inequivalent atoms, fractional coordinates:
Te: 0.000 0.000 0.000 (multiplicity 1)
As: 0.253 0.500 0.695 (multiplicity 2)
P: 0.500 0.000 0.500 (multiplicity 1)

Results
D(E_F) in states/eV/atom: 0.295
E in eV per atom: -4.293
ΔE_f (raw) in eV/atom: 0.169

[10]
This record from Alexandria describes crystalline TeAs2P at its relaxed geometry. The functional is PBE-GGA.

abc: 3.587 7.878 8.847
angles: 90.00 90.00 90.00
Space group Cmm2 (No. 35)
Inequivalent atoms, fractional coordinates:
Te: 0.000 0.000 0.000 (multiplicity 2)
As: 0.000 0.000 0.508 (multiplicity 2)
As: 0.000 0.500 0.208 (multiplicity 2)
P: 0.000 0.500 0.670 (multiplicity 2)

Results
D(E_F) in states/eV/atom: 0.775
E in eV per atom: -4.026
ΔE_f (raw) in eV/atom: 0.437

[11]
This record from Alexandria describes crystalline TeAsP2 at its relaxed geometry. The functional is PBE-GGA.

abc: 3.658 3.658 15.780
angles: 90.00 90.00 90.00
Space group I-4m2 (No. 119)
Inequivalent atoms, fractional coordinates:
Te: 0.000 0.000 0.000 (multiplicity 2)
As: 0.000 0.500 0.750 (multiplicity 2)
P: 0.000 0.000 0.500 (multiplicity 2)
P: 0.000 0.500 0.250 (multiplicity 2)

Results
D(E_F) in states/eV/atom: 0.877
E in eV per atom: -3.996
ΔE_f (raw) in eV/atom: 0.657

[12]
This record from Alexandria describes crystalline TeAs2P at its relaxed geometry. The functional is PBE-GGA.

abc: 3.417 4.941 10.358
angles: 90.00 90.00 90.00
Space group Cmmm (No. 65)
Inequivalent atoms, fractional coordinates:
Te: 0.000 0.000 0.000 (multiplicity 2)
As: 0.000 0.500 0.313 (multiplicity 4)
P: 0.000 0.000 0.500 (multiplicity 2)

Results
D(E_F) in states/eV/atom: 0.677
E in eV per atom: -3.954
ΔE_f (raw) in eV/atom: 0.509

[13]
This record from Alexandria describes crystalline TeAs2P at its relaxed geometry. The functional is PBE-GGA.

abc: 4.868 4.868 3.449
angles: 90.00 90.00 90.00
Space group P4/mmm (No. 123)
Inequivalent atoms, fractional coordinates:
Te: 0.000 0.000 0.000 (multiplicity 1)
As: 0.000 0.500 0.500 (multiplicity 2)
P: 0.500 0.500 0.000 (multiplicity 1)

Results
D(E_F) in states/eV/atom: 0.530
E in eV per atom: -3.857
ΔE_f (raw) in eV/atom: 0.606

[14]
This record from Alexandria describes crystalline TeAsP at its relaxed geometry. The functional is PBE-GGA.

abc: 16.624 3.375 5.990
angles: 90.00 102.58 90.00
Space group Cm (No. 8)
Inequivalent atoms, fractional coordinates:
Te: 0.000 0.000 0.000 (multiplicity 2)
Te: 0.054 0.000 0.564 (multiplicity 2)
As: 0.221 0.000 0.357 (multiplicity 2)
As: 0.318 0.000 0.078 (multiplicity 2)
P: 0.234 0.500 0.866 (multiplicity 2)
P: 0.299 0.500 0.580 (multiplicity 2)

Results
D(E_F) in states/eV/atom: 0.497
E in eV per atom: -4.277
ΔE_f (raw) in eV/atom: 0.124

[15]
This record from Alexandria describes crystalline TeAs3P at its relaxed geometry. The functional is PBE-GGA.

abc: 5.270 5.270 5.270
angles: 90.00 90.00 90.00
Space group Pm-3m (No. 221)
Inequivalent atoms, fractional coordinates:
Te: 0.000 0.000 0.000 (multiplicity 1)
As: 0.000 0.000 0.500 (multiplicity 3)
P: 0.500 0.500 0.500 (multiplicity 1)

Results
D(E_F) in states/eV/atom: 1.071
E in eV per atom: -3.047
ΔE_f (raw) in eV/atom: 1.453

[16]
This record from Alexandria describes crystalline TeAs2P at its relaxed geometry. The functional is PBE-GGA.

abc: 4.833 4.833 6.931
angles: 90.00 90.00 90.00
Space group I-4m2 (No. 119)
Inequivalent atoms, fractional coordinates:
Te: 0.000 0.000 0.000 (multiplicity 2)
As: 0.000 0.000 0.500 (multiplicity 2)
As: 0.000 0.500 0.750 (multiplicity 2)
P: 0.000 0.500 0.250 (multiplicity 2)

Results
D(E_F) in states/eV/atom: 0.473
E in eV per atom: -3.886
ΔE_f (raw) in eV/atom: 0.576

[17]
This record from Alexandria describes crystalline TeAsP at its relaxed geometry. The functional is PBE-GGA.

abc: 6.683 6.683 6.683
angles: 90.00 90.00 90.00
Space group F-43m (No. 216)
Inequivalent atoms, fractional coordinates:
Te: 0.000 0.000 0.000 (multiplicity 4)
As: 0.250 0.250 0.250 (multiplicity 4)
P: 0.250 0.250 0.750 (multiplicity 4)

Results
D(E_F) in states/eV/atom: 0.318
E in eV per atom: -3.641
ΔE_f (raw) in eV/atom: 0.759

[18]
This record from Alexandria describes crystalline TeAs2P at its relaxed geometry. The functional is PBE-GGA.

abc: 3.951 3.951 6.098
angles: 90.00 90.00 90.00
Space group P4mm (No. 99)
Inequivalent atoms, fractional coordinates:
Te: 0.000 0.000 0.000 (multiplicity 1)
As: 0.000 0.000 0.495 (multiplicity 1)
As: 0.500 0.500 0.083 (multiplicity 1)
P: 0.500 0.500 0.469 (multiplicity 1)

Results
D(E_F) in states/eV/atom: 0.430
E in eV per atom: -4.228
ΔE_f (raw) in eV/atom: 0.235

[19]
This record from Alexandria describes crystalline TeAsP2 at its relaxed geometry. The functional is PBE-GGA.

abc: 3.809 3.936 5.716
angles: 90.00 90.00 90.00
Space group Pmm2 (No. 25)
Inequivalent atoms, fractional coordinates:
Te: 0.000 0.000 0.000 (multiplicity 1)
As: 0.500 0.500 0.526 (multiplicity 1)
P: 0.000 0.000 0.512 (multiplicity 1)
P: 0.500 0.500 0.948 (multiplicity 1)

Results
D(E_F) in states/eV/atom: 0.361
E in eV per atom: -4.369
ΔE_f (raw) in eV/atom: 0.283

[20]
This record from Alexandria describes crystalline TeAsP at its relaxed geometry. The functional is PBE-GGA.

abc: 3.9395 3.9395 4.9779
angles: 90.00 90.00 120.00
Space group P3m1 (No. 156)
Inequivalent atoms, fractional coordinates:
Te: 0.0000 0.0000 0.0000 (multiplicity 1)
As: 0.3333 0.6667 0.3807 (multiplicity 1)
P: 0.6667 0.3333 0.6483 (multiplicity 1)

Results
D(E_F) in states/eV/atom: 0.634
E in eV per atom: -4.186
ΔE_f (raw) in eV/atom: 0.215

[21]
This record from Alexandria describes crystalline TeAs2P at its relaxed geometry. The functional is PBE-GGA.

abc: 6.915 6.915 8.543
angles: 90.00 90.00 90.00
Space group I-42d (No. 122)
Inequivalent atoms, fractional coordinates:
Te: 0.000 0.000 0.000 (multiplicity 4)
As: 0.202 0.250 0.625 (multiplicity 8)
P: 0.000 0.000 0.500 (multiplicity 4)

Results
D(E_F) in states/eV/atom: 0.565
E in eV per atom: -4.161
ΔE_f (raw) in eV/atom: 0.301

[22]
This record from Alexandria describes crystalline TeAs2P at its relaxed geometry. The functional is PBE-GGA.

abc: 4.760 3.852 5.423
angles: 90.00 108.87 90.00
Space group Pm (No. 6)
Inequivalent atoms, fractional coordinates:
Te: 0.000 0.000 0.000 (multiplicity 1)
As: 0.207 0.500 0.725 (multiplicity 1)
As: 0.509 0.000 0.485 (multiplicity 1)
P: 0.764 0.500 0.351 (multiplicity 1)

Results
D(E_F) in states/eV/atom: 0.375
E in eV per atom: -4.297
ΔE_f (raw) in eV/atom: 0.166

[23]
This record from Alexandria describes crystalline TeAsP3 at its relaxed geometry. The functional is PBE-GGA.

abc: 4.749 4.749 4.749
angles: 90.00 90.00 90.00
Space group Pm-3m (No. 221)
Inequivalent atoms, fractional coordinates:
Te: 0.000 0.000 0.000 (multiplicity 1)
As: 0.500 0.500 0.500 (multiplicity 1)
P: 0.000 0.500 0.500 (multiplicity 3)

Results
D(E_F) in states/eV/atom: 0.772
E in eV per atom: -3.845
ΔE_f (raw) in eV/atom: 0.959

[24]
This record from Alexandria describes crystalline TeAsP2 at its relaxed geometry. The functional is PBE-GGA.

abc: 3.313 3.313 8.212
angles: 90.00 90.00 90.00
Space group P4mm (No. 99)
Inequivalent atoms, fractional coordinates:
Te: 0.000 0.000 0.000 (multiplicity 1)
As: 0.500 0.500 0.360 (multiplicity 1)
P: 0.000 0.000 0.693 (multiplicity 1)
P: 0.500 0.500 0.639 (multiplicity 1)

Results
D(E_F) in states/eV/atom: 0.498
E in eV per atom: -4.406
ΔE_f (raw) in eV/atom: 0.247

[25]
This record from Alexandria describes crystalline TeAs2P at its relaxed geometry. The functional is PBE-GGA.

abc: 3.369 3.369 8.282
angles: 90.00 90.00 90.00
Space group P4mm (No. 99)
Inequivalent atoms, fractional coordinates:
Te: 0.000 0.000 0.000 (multiplicity 1)
As: 0.000 0.000 0.540 (multiplicity 1)
As: 0.500 0.500 0.347 (multiplicity 1)
P: 0.500 0.500 0.648 (multiplicity 1)

Results
D(E_F) in states/eV/atom: 0.595
E in eV per atom: -4.028
ΔE_f (raw) in eV/atom: 0.435

[26]
This record from Alexandria describes crystalline TeAsP2 at its relaxed geometry. The functional is PBE-GGA.

abc: 6.643 3.936 6.640
angles: 90.00 110.73 90.00
Space group C2/m (No. 12)
Inequivalent atoms, fractional coordinates:
Te: 0.000 0.000 0.000 (multiplicity 2)
As: 0.000 0.500 0.500 (multiplicity 2)
P: 0.242 0.000 0.725 (multiplicity 4)

Results
D(E_F) in states/eV/atom: 0.364
E in eV per atom: -4.400
ΔE_f (raw) in eV/atom: 0.253

[27]
This record from Alexandria describes crystalline Te2As2P at its relaxed geometry. The functional is PBE-GGA.

abc: 3.744 3.744 16.945
angles: 90.00 90.00 90.00
Space group I4/mmm (No. 139)
Inequivalent atoms, fractional coordinates:
Te: 0.000 0.000 0.089 (multiplicity 4)
As: 0.000 0.500 0.250 (multiplicity 4)
P: 0.000 0.000 0.500 (multiplicity 2)

Results
D(E_F) in states/eV/atom: 0.661
E in eV per atom: -3.717
ΔE_f (raw) in eV/atom: 0.482

[28]
This record from Alexandria describes crystalline TeAs2P at its relaxed geometry. The functional is PBE-GGA.

abc: 3.338 4.987 10.175
angles: 90.00 90.00 90.00
Space group Immm (No. 71)
Inequivalent atoms, fractional coordinates:
Te: 0.000 0.000 0.000 (multiplicity 2)
As: 0.000 0.500 0.191 (multiplicity 4)
P: 0.000 0.000 0.500 (multiplicity 2)

Results
D(E_F) in states/eV/atom: 0.434
E in eV per atom: -4.001
ΔE_f (raw) in eV/atom: 0.461

[29]
This record from Alexandria describes crystalline TeAsP2 at its relaxed geometry. The functional is PBE-GGA.

abc: 4.780 4.780 3.333
angles: 90.00 90.00 90.00
Space group P4/mmm (No. 123)
Inequivalent atoms, fractional coordinates:
Te: 0.000 0.000 0.000 (multiplicity 1)
As: 0.500 0.500 0.000 (multiplicity 1)
P: 0.000 0.500 0.500 (multiplicity 2)

Results
D(E_F) in states/eV/atom: 0.541
E in eV per atom: -3.973
ΔE_f (raw) in eV/atom: 0.680